Here is Ac3In6Pt5 after structural relaxation from the Alexandria database. Energies are from PBE.

Cell: 4.5222 14.1489 10.3724 Å, 90.00 90.00 90.00°
Space group Pmmn (No. 59, origin choice 2)
Asymmetric unit:
Ac1 0.2500 0.0527 0.2440
Ac2 0.2500 0.7500 0.2786
In1 0.2500 0.0694 0.5813
In2 0.2500 0.2500 0.0329
In3 0.2500 0.2500 0.4072
In4 0.2500 0.5994 0.9885
Pt1 0.2500 0.0971 0.8506
Pt2 0.2500 0.6350 0.5530
Pt3 0.2500 0.7500 0.7927

## Properties
* E: -4.98 eV per atom
* formation energy: -766.9 meV/atom

---

Here is LaMn2W2 after structural relaxation from the Alexandria database. Energies are from PBE.

Cell: 4.2278 4.2278 10.1602 Å, 90.00 90.00 90.00°
Space group I4/mmm (No. 139)
Asymmetric unit:
La1 0.0000 0.0000 0.0000
Mn1 0.0000 0.0000 0.3772
W1 0.0000 0.5000 0.2500

## Properties
* ΔE to the lowest computed polymorph: 0 meV/atom
* E: -9.62 eV per atom
* formation energy: 217.1 meV/atom

---

Here is TaBeSb2 after structural relaxation from the Alexandria database. Energies are from PBE.

Cell: 3.7336 5.1255 8.2240 Å, 90.00 90.00 90.00°
Space group Cmmm (No. 65)
Asymmetric unit:
Ta1 0.0000 0.0000 0.0000
Be1 0.0000 0.0000 0.5000
Sb1 0.0000 0.5000 0.2665

## Properties
* E: -5.44 eV per atom
* uncorrected formation energy: 515 meV per atom

---

Here is NaCd11Ge after structural relaxation from the Alexandria database. Energies are from PBE.

Cell: 5.9318 14.1915 7.8044 Å, 90.00 111.34 90.00°
Space group C2/m (No. 12)
Asymmetric unit:
Na1 0.0000 0.0000 0.0000
Cd1 0.0000 0.0000 0.5000
Cd2 0.1046 0.3939 0.2140
Cd3 0.1789 0.1762 0.3532
Cd4 0.2500 0.2500 0.0000
Ge1 0.0000 0.5000 0.5000

## Properties
* E: -1.21 eV per atom
* formation energy: 17.9 meV/atom

---

Here is La3U2N7 after structural relaxation from the Alexandria database. Energies are from PBE.

Cell: 4.3745 21.7841 4.1439 Å, 90.00 90.00 90.00°
Space group Cmmm (No. 65)
Asymmetric unit:
La1 0.0000 0.0000 0.0000
La2 0.0000 0.1826 0.0000
U1 0.0000 0.3998 0.5000
N1 0.0000 0.0996 0.5000
N2 0.0000 0.3031 0.5000
N3 0.0000 0.3974 0.0000
N4 0.0000 0.5000 0.5000

## Properties
* E: -9.11 eV per atom
* uncorrected formation energy: -1138 meV per atom

---

Here is Y2ZrAlGa after structural relaxation from the Alexandria database. Energies are from PBE.

Cell: 5.4395 5.4395 4.6473 Å, 90.00 90.00 90.00°
Space group P4/mmm (No. 123)
Asymmetric unit:
Y1 0.0000 0.5000 0.0000
Zr1 0.0000 0.0000 0.5000
Al1 0.5000 0.5000 0.5000
Ga1 0.5000 0.5000 0.0000

## Properties
* E: -5.33 eV per atom
* formation energy: 322.6 meV/atom

---

Here is TaTc2Br after structural relaxation from the Alexandria database. Energies are from PBE.

Cell: 4.5313 4.5313 3.1596 Å, 90.00 90.00 90.00°
Space group P4/mmm (No. 123)
Asymmetric unit:
Ta1 0.0000 0.0000 0.0000
Tc1 0.0000 0.5000 0.5000
Br1 0.5000 0.5000 0.0000

## Properties
* ΔE to the lowest computed polymorph: 287 meV/atom
* E: -8.00 eV per atom
* uncorrected formation energy: 569 meV per atom

---

Here is Li2Mg6Pd after structural relaxation from the Alexandria database. Energies are from PBE.

Cell: 8.1049 8.1049 3.2005 Å, 90.00 90.00 120.00°
Space group P-62m (No. 189)
Asymmetric unit:
Li1 0.3333 0.6667 0.0000
Mg1 0.0000 0.3733 0.5000
Mg2 0.0000 0.7272 0.0000
Pd1 0.0000 0.0000 0.5000

## Properties
* ΔE to the lowest computed polymorph: 28 meV/atom
* E: -2.25 eV per atom
* formation energy: -187.8 meV/atom

---

Here is UZnMo2 after structural relaxation from the Alexandria database. Energies are from PBE.

Cell: 4.3980 4.3980 3.4900 Å, 90.00 90.00 90.00°
Space group P4/mmm (No. 123)
Asymmetric unit:
U1 0.0000 0.0000 0.0000
Zn1 0.5000 0.5000 0.0000
Mo1 0.0000 0.5000 0.5000

## Properties
* E: -8.44 eV per atom
* formation energy: 113.9 meV/atom

---

Here is KHgPd3 after structural relaxation from the Alexandria database. Energies are from PBE.

Cell: 5.7257 10.7764 8.1373 Å, 90.00 90.00 90.00°
Space group Imma (No. 74)
Asymmetric unit:
K1 0.0000 0.2500 0.1005
Hg1 0.0000 0.0000 0.5000
Pd1 0.0000 0.2500 0.5296
Pd2 0.2500 0.1182 0.7500

## Properties
* ΔE to the lowest computed polymorph: 0 meV/atom
* E: -3.35 eV per atom
* formation energy: 48.2 meV/atom

---

Here is CaGdAlIn after structural relaxation from the Alexandria database. Energies are from PBE.

Cell: 7.5049 7.5049 7.5049 Å, 90.00 90.00 90.00°
Space group F-43m (No. 216)
Asymmetric unit:
Ca1 0.0000 0.0000 0.0000
Gd1 0.0000 0.0000 0.5000
Al1 0.2500 0.2500 0.7500
In1 0.2500 0.2500 0.2500

## Properties
* E: -6.00 eV per atom
* formation energy: -357.3 meV/atom

---

Here is LiTa2NbN4 after structural relaxation from the Alexandria database. Energies are from PBE.

Cell: 5.2732 3.1077 5.3712 Å, 90.00 108.58 90.00°
Space group P2/m (No. 10)
Asymmetric unit:
Li1 0.0000 0.0000 0.0000
Ta1 0.5000 0.0000 0.5000
Ta2 0.5000 0.5000 0.0000
Nb1 0.0000 0.5000 0.5000
N1 0.2522 0.0000 0.7636
N2 0.2607 0.5000 0.2527

## Properties
* E: -9.69 eV per atom
* uncorrected formation energy: -1063 meV per atom

---

Here is Nd6Tm3In after structural relaxation from the Alexandria database. Energies are from PBE.

Cell: 11.1326 5.0987 11.4059 Å, 90.00 92.03 90.00°
Space group P2_1/m (No. 11)
Asymmetric unit:
Nd1 0.0466 0.2500 0.3895
Nd2 0.1424 0.7500 0.1884
Nd3 0.1539 0.2500 0.6890
Nd4 0.2383 0.2500 0.9957
Nd5 0.3447 0.7500 0.8003
Nd6 0.4509 0.2500 0.6011
Tm1 0.2491 0.7500 0.4908
Tm2 0.3500 0.2500 0.2955
Tm3 0.4519 0.7500 0.0998
In1 0.0516 0.7500 0.8960

## Properties
* E: -4.54 eV per atom
* formation energy: -61.6 meV/atom

---

Here is La7Nd2Mg2 after structural relaxation from the Alexandria database. Energies are from PBE.

Cell: 10.9158 11.8114 6.2847 Å, 90.00 112.12 90.00°
Space group C2/m (No. 12)
Asymmetric unit:
La1 0.0000 0.0000 0.0000
La2 0.1758 0.2479 0.1676
La3 0.2049 0.0000 0.5943
Nd1 0.0851 0.5000 0.7968
Mg1 0.0000 0.2386 0.5000

## Properties
* ΔE to the lowest computed polymorph: 2 meV/atom
* E: -4.22 eV per atom
* formation energy: 72.8 meV/atom

---

Here is YZn3C after structural relaxation from the Alexandria database. Energies are from PBE.

Cell: 5.7864 5.7864 5.7864 Å, 90.00 90.00 90.00°
Space group Pm-3m (No. 221)
Asymmetric unit:
Y1 0.0000 0.0000 0.0000
Zn1 0.0000 0.0000 0.5000
C1 0.5000 0.5000 0.5000

## Properties
* ΔE to the lowest computed polymorph: 1589 meV/atom
* E: -1.81 eV per atom
* formation energy: 2094.4 meV/atom

---

Here is Pr2Te2Se after structural relaxation from the Alexandria database. Energies are from PBE.

Cell: 4.5084 18.1833 8.2810 Å, 90.00 90.00 90.00°
Space group Cmc2_1 (No. 36)
Asymmetric unit:
Pr1 0.0000 0.0519 0.0000
Pr2 0.0000 0.3158 0.9437
Te1 0.0000 0.3061 0.5422
Te2 0.0000 0.4475 0.2003
Se1 0.0000 0.0967 0.3459

## Properties
* E: -5.42 eV per atom
* uncorrected formation energy: -1555 meV per atom

---

Here is KRbOsN2 after structural relaxation from the Alexandria database. Energies are from PBE.

Cell: 5.3723 5.3723 6.8333 Å, 90.00 90.00 90.00°
Space group P4/mmm (No. 123)
Asymmetric unit:
K1 0.0000 0.0000 0.0000
Rb1 0.0000 0.0000 0.5000
Os1 0.5000 0.5000 0.0000
N1 0.0000 0.5000 0.5000

## Properties
* E: -2.98 eV per atom
* uncorrected formation energy: 3011 meV per atom

---

Here is Rb2LaS2Cl2 after structural relaxation from the Alexandria database. Energies are from PBE.

Cell: 5.4962 5.4962 17.1256 Å, 90.00 90.00 90.00°
Space group I4/mmm (No. 139)
Asymmetric unit:
Rb1 0.0000 0.0000 0.1430
La1 0.0000 0.0000 0.5000
S1 0.0000 0.5000 0.0000
Cl1 0.0000 0.0000 0.3333

## Properties
* E: -4.35 eV per atom
* uncorrected formation energy: -1661 meV per atom

---

Here is Nd5Dy4Zn after structural relaxation from the Alexandria database. Energies are from PBE.

Cell: 3.6439 3.6439 23.9278 Å, 90.00 90.00 90.00°
Space group P4/mmm (No. 123)
Asymmetric unit:
Nd1 0.0000 0.0000 0.0000
Nd2 0.0000 0.0000 0.2110
Nd3 0.0000 0.0000 0.4229
Dy1 0.5000 0.5000 0.1053
Dy2 0.5000 0.5000 0.3154
Zn1 0.5000 0.5000 0.5000

## Properties
* E: -4.40 eV per atom
* formation energy: -45.7 meV/atom

---

Here is Na2BiC after structural relaxation from the Alexandria database. Energies are from PBE.

Cell: 6.9870 6.9870 6.9870 Å, 90.00 90.00 90.00°
Space group Fm-3m (No. 225)
Asymmetric unit:
Na1 0.2500 0.2500 0.2500
Bi1 0.0000 0.0000 0.0000
C1 0.0000 0.0000 0.5000

## Properties
* ΔE to the lowest computed polymorph: 347 meV/atom
* E: -2.76 eV per atom
* formation energy: 1173.9 meV/atom